# 1
Na3HgTe, optimized geometry, DFT PBE; ΔE_f (raw) = -40 kJ per mole of atoms; SG = No. 221; final energy = -1.90 eV per atom; energy relative to the lowest polymorph listed for this composition = 0.124 eV per atom; D(E_F) = 0.9884 states/eV/atom
1.0
-1.6623 3.1324 4.7579
-4.2341 -3.9951 1.1509
3.8108 -3.0724 3.3542
Hg Na Te
1 3 1
Direct
0.5000 0.5000 0.5000 Hg
0.0000 0.5000 0.0000 Na
0.5000 0.0000 0.0000 Na
0.0000 0.0000 0.5000 Na
0.0000 0.0000 0.0000 Te


# 2
Na5Hg2Te5, optimized geometry, DFT PBE; ΔE_f (raw) = -54 kJ per mole of atoms; SG = No. 107; final energy = -2.47 eV per atom; energy relative to the lowest polymorph listed for this composition = 0.016 eV per atom; D(E_F) = 0.6907 states/eV/atom
1.0
-3.1647 -2.9591 6.4003
5.0325 -3.0082 5.7641
-1.2981 5.0481 6.3587
Te Na Hg
5 5 2
Direct
0.7125 0.2928 0.2928 Te
0.0053 0.2928 0.7072 Te
0.4621 0.0000 0.0000 Te
0.2980 0.7072 0.7072 Te
0.0053 0.7072 0.2928 Te
0.8546 0.0000 0.0000 Na
0.1345 0.0000 0.4030 Na
0.5375 0.0000 0.5970 Na
0.5375 0.5970 0.0000 Na
0.1345 0.4030 0.0000 Na
0.7555 0.5000 0.5000 Hg
0.2555 0.5000 0.5000 Hg


# 3
Na5Hg2Te5, optimized geometry, DFT PBE; ΔE_f (raw) = -55 kJ per mole of atoms; SG = No. 12; final energy = -2.48 eV per atom; energy relative to the lowest polymorph listed for this composition = 0.000 eV per atom; D(E_F) = 0.4031 states/eV/atom
1.0
4.2069 0.0000 0.0000
-2.1035 7.6608 -0.0750
0.0000 -3.7857 12.0967
Hg Na Te
2 5 5
Direct
0.0425 0.0851 0.7848 Hg
0.9575 0.9149 0.2152 Hg
0.7522 0.5044 0.3532 Na
0.6604 0.3207 0.0455 Na
0.2478 0.4956 0.6468 Na
0.5000 0.0000 0.5000 Na
0.3396 0.6793 0.9545 Na
0.1132 0.2265 0.4000 Te
0.0000 0.0000 0.0000 Te
0.6785 0.3570 0.8029 Te
0.8868 0.7735 0.6000 Te
0.3215 0.6430 0.1971 Te


# 4
Na2Hg2Te, optimized geometry, DFT PBE; ΔE_f (raw) = -32 kJ per mole of atoms; SG = No. 127; final energy = -1.61 eV per atom; energy relative to the lowest polymorph listed for this composition = 0.029 eV per atom; D(E_F) = 0.3478 states/eV/atom
1.0
8.1013 0.0000 0.0000
0.0000 8.1013 0.0000
0.0000 0.0000 4.3747
Hg Na Te
4 4 2
Direct
0.1271 0.3729 0.0000 Hg
0.3729 0.8729 0.0000 Hg
0.6271 0.1271 0.0000 Hg
0.8729 0.6271 0.0000 Hg
0.1763 0.6763 0.5000 Na
0.3237 0.1763 0.5000 Na
0.8237 0.3237 0.5000 Na
0.6763 0.8237 0.5000 Na
0.5000 0.5000 0.0000 Te
0.0000 0.0000 0.0000 Te


# 5
Na3HgTe, optimized geometry, DFT PBE; ΔE_f (raw) = -52 kJ per mole of atoms; SG = No. 59; final energy = -2.02 eV per atom; energy relative to the lowest polymorph listed for this composition = 0.000 eV per atom; D(E_F) = 0.2637 states/eV/atom
1.0
-2.6417 -3.9074 0.3859
1.1075 -0.0258 7.3204
-6.9869 4.8298 1.0738
Na Te Hg
6 2 2
Direct
0.8756 0.9279 0.7010 Na
0.8757 0.3994 0.8971 Na
0.3756 0.4248 0.2010 Na
0.8757 0.3993 0.5046 Na
0.3757 0.9534 0.3971 Na
0.3757 0.9534 0.0045 Na
0.8756 0.1475 0.2008 Te
0.3756 0.2053 0.7008 Te
0.3755 0.6509 0.7005 Hg
0.8755 0.7019 0.2005 Hg


# 6
Na2HgTe2, optimized geometry, DFT PBE; ΔE_f (raw) = -49 kJ per mole of atoms; SG = No. 127; final energy = -2.35 eV per atom; energy relative to the lowest polymorph listed for this composition = 0.086 eV per atom; D(E_F) = 0.2259 states/eV/atom
1.0
-3.3687 6.4281 6.3681
-3.9797 -7.1551 5.1174
2.6924 -0.2781 1.7050
Hg Te Na
2 4 4
Direct
0.5000 0.5000 0.0000 Hg
0.0000 0.0000 0.0000 Hg
0.8391 0.6609 0.0000 Te
0.6609 0.1609 0.0000 Te
0.3391 0.8391 0.0000 Te
0.1609 0.3391 0.0000 Te
0.3637 0.1363 0.5000 Na
0.6363 0.8637 0.5000 Na
0.1363 0.6363 0.5000 Na
0.8637 0.3637 0.5000 Na


# 7
Na5Hg12Te3, optimized geometry, DFT PBE; ΔE_f (raw) = -7 kJ per mole of atoms; SG = No. 230; final energy = -1.06 eV per atom; D(E_F) = 0.6219 states/eV/atom
1.0
-2.7095 11.5994 -10.2386
-12.3477 -9.7035 0.3067
2.2470 6.0683 14.3124
Na Te Hg
20 12 48
Direct
0.6250 0.7500 0.8750 Na
0.7500 0.6250 0.3750 Na
0.0000 0.0000 0.0000 Na
0.1250 0.7500 0.3750 Na
0.5000 0.0000 0.5000 Na
0.6250 0.8750 0.2500 Na
0.0000 0.5000 0.5000 Na
0.8750 0.2500 0.6250 Na
0.8750 0.6250 0.7500 Na
0.5000 0.5000 0.5000 Na
0.2500 0.8750 0.1250 Na
0.2500 0.3750 0.6250 Na
0.0000 0.0000 0.5000 Na
0.7500 0.1250 0.8750 Na
0.5000 0.0000 0.0000 Na
0.5000 0.5000 0.0000 Na
0.1250 0.3750 0.2500 Na
0.3750 0.1250 0.7500 Na
0.0000 0.5000 0.0000 Na
0.3750 0.2500 0.1250 Na
0.8750 0.7500 0.1250 Te
0.7500 0.8750 0.6250 Te
0.2500 0.6250 0.8750 Te
0.8750 0.1250 0.2500 Te
0.3750 0.6250 0.2500 Te
0.6250 0.2500 0.3750 Te
0.7500 0.3750 0.1250 Te
0.3750 0.7500 0.6250 Te
0.1250 0.8750 0.7500 Te
0.1250 0.2500 0.8750 Te
0.6250 0.3750 0.7500 Te
0.2500 0.1250 0.3750 Te
0.2268 0.6697 0.1066 Hg
0.6066 0.7268 0.6697 Hg
0.6066 0.8798 0.4370 Hg
0.6697 0.2268 0.6066 Hg
0.9428 0.5630 0.1697 Hg
0.0630 0.8934 0.1202 Hg
0.7268 0.1202 0.0572 Hg
0.0572 0.6202 0.7268 Hg
0.4370 0.0572 0.3303 Hg
0.3798 0.9428 0.7732 Hg
0.3798 0.4370 0.1066 Hg
0.5572 0.3303 0.9370 Hg
0.1066 0.9370 0.3798 Hg
0.6697 0.4428 0.5630 Hg
0.1697 0.0630 0.9428 Hg
0.8303 0.9370 0.0572 Hg
0.5630 0.9428 0.6697 Hg
0.5572 0.2268 0.1202 Hg
0.4428 0.6697 0.0630 Hg
0.9370 0.8303 0.5572 Hg
0.7732 0.4428 0.3798 Hg
0.8934 0.8303 0.7732 Hg
0.8934 0.0630 0.6202 Hg
0.3303 0.7732 0.3934 Hg
0.7732 0.3303 0.8934 Hg
0.9428 0.3798 0.2732 Hg
0.6202 0.0572 0.2268 Hg
0.8798 0.2732 0.4428 Hg
0.4370 0.3798 0.6066 Hg
0.8798 0.6066 0.9370 Hg
0.1066 0.1697 0.2268 Hg
0.6202 0.5630 0.8934 Hg
0.1202 0.7268 0.5572 Hg
0.5630 0.6202 0.3934 Hg
0.3934 0.2732 0.3303 Hg
0.1697 0.1066 0.7268 Hg
0.2268 0.5572 0.6202 Hg
0.2732 0.8798 0.9428 Hg
0.7268 0.6066 0.1697 Hg
0.1202 0.3934 0.0630 Hg
0.0572 0.4370 0.8303 Hg
0.0630 0.1697 0.4428 Hg
0.3934 0.1202 0.5630 Hg
0.4428 0.7732 0.8798 Hg
0.3303 0.5572 0.4370 Hg
0.2732 0.3934 0.8303 Hg
0.9370 0.1066 0.8798 Hg
0.8303 0.8934 0.2732 Hg


# 8
Na3Hg2Te3, optimized geometry, DFT PBE; ΔE_f (raw) = -47 kJ per mole of atoms; SG = No. 63; final energy = -2.23 eV per atom; D(E_F) = 0.3987 states/eV/atom
1.0
-2.2891 -2.0129 -3.4270
7.0362 -1.8419 -0.5488
-2.5754 -12.5466 9.0897
Te Na Hg
6 6 4
Direct
0.3838 0.7676 0.9358 Te
0.6162 0.2324 0.4358 Te
0.6192 0.2383 0.7500 Te
0.6162 0.2324 0.0642 Te
0.3838 0.7676 0.5642 Te
0.3808 0.7617 0.2500 Te
0.0526 0.1051 0.8910 Na
0.7107 0.4214 0.2500 Na
0.9474 0.8949 0.3910 Na
0.2893 0.5786 0.7500 Na
0.0526 0.1051 0.6090 Na
0.9474 0.8949 0.1090 Na
0.2526 0.5051 0.0943 Hg
0.2526 0.5051 0.4057 Hg
0.7474 0.4949 0.5943 Hg
0.7474 0.4949 0.9057 Hg


# 9
Na2HgTe, optimized geometry, DFT PBE; ΔE_f (raw) = -55 kJ per mole of atoms; SG = No. 160; final energy = -2.09 eV per atom; energy relative to the lowest polymorph listed for this composition = 0.084 eV per atom
1.0
4.9953 0.0000 0.0000
2.4976 4.3260 0.0000
2.4976 1.4420 6.9089
Na Hg Te
2 1 1
Direct
0.0571 0.0571 0.8288 Na
0.2860 0.2860 0.1420 Na
0.4852 0.4852 0.5444 Hg
0.6718 0.6718 0.9847 Te


# 10
Na4Th3HgTe8, optimized geometry, DFT PBE; ΔE_f (raw) = -95 kJ per mole of atoms; SG = No. 166; final energy = -4.30 eV per atom; D(E_F) = 0.2487 states/eV/atom
1.0
-9.1756 -1.5826 -0.7283
1.6328 -8.7743 -1.5083
3.4113 4.3045 7.5538
Te Na Th Hg
8 4 3 1
Direct
0.7483 0.7451 0.4967 Te
0.2732 0.2689 0.0211 Te
0.2523 0.7314 0.5046 Te
0.7268 0.7311 0.9789 Te
0.2517 0.2549 0.5033 Te
0.7477 0.2686 0.4954 Te
0.2521 0.7311 0.9789 Te
0.7479 0.2689 0.0211 Te
0.5000 0.0000 0.5000 Na
0.5000 0.0000 0.0000 Na
0.0000 0.0000 0.5000 Na
0.0000 0.0000 0.0000 Na
0.5000 0.5000 0.0000 Th
0.5000 0.5000 0.5000 Th
0.0000 0.5000 0.5000 Th
0.0000 0.5000 0.0000 Hg


# 11
Na3Th2HgTe6, optimized geometry, DFT PBE; ΔE_f (raw) = -91 kJ per mole of atoms; SG = No. 12; final energy = -4.10 eV per atom; D(E_F) = 0.1977 states/eV/atom
1.0
4.5066 0.0000 0.0000
0.0000 9.2326 0.5184
-2.2533 -2.4701 9.7041
Na Hg Te Th
3 1 6 2
Direct
0.8452 0.1607 0.6904 Na
0.5000 0.5000 0.0000 Na
0.1548 0.8393 0.3096 Na
0.5000 0.0000 0.0000 Hg
0.9918 0.7470 0.9837 Te
0.6777 0.1058 0.3554 Te
0.6720 0.5770 0.3441 Te
0.3280 0.4230 0.6559 Te
0.0082 0.2530 0.0163 Te
0.3223 0.8942 0.6446 Te
0.8377 0.6714 0.6755 Th
0.1623 0.3286 0.3245 Th


# 12
Na2ThHgTe4, optimized geometry, DFT PBE; ΔE_f (raw) = -78 kJ per mole of atoms; SG = No. 10; final energy = -3.68 eV per atom
1.0
4.4672 0.0000 0.0000
0.0000 7.9470 0.0129
0.0000 -2.8975 7.5204
Na Te Th Hg
2 4 1 1
Direct
0.5000 0.0000 0.5000 Na
0.0000 0.5000 0.5000 Na
0.5000 0.2335 0.2149 Te
0.0000 0.7294 0.2528 Te
0.5000 0.7665 0.7851 Te
0.0000 0.2706 0.7472 Te
0.5000 0.5000 0.0000 Th
0.0000 0.0000 0.0000 Hg


# 13
Na2Tl2HgTe2, optimized geometry, DFT PBE; ΔE_f (raw) = -46 kJ per mole of atoms; SG = No. 164; final energy = -2.47 eV per atom
1.0
-1.4702 -1.9926 -4.3494
4.4316 -1.2565 1.9573
-6.3238 -11.0722 7.2101
Te Na Tl Hg
2 2 2 1
Direct
0.3333 0.6667 0.6471 Te
0.6667 0.3333 0.3529 Te
0.6667 0.3333 0.5717 Na
0.3333 0.6667 0.4283 Na
0.0000 0.0000 0.7591 Tl
0.0000 0.0000 0.2409 Tl
0.0000 0.0000 0.0000 Hg


# 14
NaTlHgTe, optimized geometry, DFT PBE; ΔE_f (raw) = -41 kJ per mole of atoms; SG = No. 216; final energy = -2.20 eV per atom
1.0
5.5857 0.0000 0.0000
2.7928 4.8374 0.0000
2.7928 1.6125 4.5607
Hg Na Te Tl
1 1 1 1
Direct
0.7500 0.7500 0.7500 Hg
0.5000 0.5000 0.5000 Na
0.2500 0.2500 0.2500 Te
0.0000 0.0000 0.0000 Tl


# 15
Na2UHgTe4, optimized geometry, DFT PBE; ΔE_f (raw) = -57 kJ per mole of atoms; SG = No. 10; final energy = -3.94 eV per atom; D(E_F) = 0.6171 states/eV/atom
1.0
-2.9151 2.5991 2.0164
-5.3563 -5.9005 -0.1380
4.3700 -0.2537 6.6448
Na Hg Te U
2 1 4 1
Direct
0.0000 0.5000 0.5000 Na
0.5000 0.0000 0.5000 Na
0.0000 0.0000 0.0000 Hg
0.5000 0.2419 0.2102 Te
0.5000 0.7581 0.7898 Te
0.0000 0.7249 0.2474 Te
0.0000 0.2751 0.7526 Te
0.5000 0.5000 0.0000 U


# 16
NaHgTe2W, optimized geometry, DFT PBE; ΔE_f (raw) = 127 kJ per mole of atoms; SG = No. 123; final energy = -2.85 eV per atom; D(E_F) = 0.5990 states/eV/atom
1.0
-4.7904 -0.0881 -3.0404
0.8329 -4.8373 -1.1721
-2.8939 -1.6145 4.6064
Hg Na Te W
1 1 2 1
Direct
0.0000 0.0000 0.0000 Hg
0.0000 0.5000 0.0000 Na
0.0000 0.0000 0.5000 Te
0.5000 0.0000 0.0000 Te
0.5000 0.5000 0.5000 W


# 17
Na4Zr3HgTe8, optimized geometry, DFT PBE; ΔE_f (raw) = -75 kJ per mole of atoms; SG = No. 166; final energy = -4.30 eV per atom; D(E_F) = 0.5165 states/eV/atom
1.0
8.5715 0.0000 0.0000
0.0000 8.9961 0.2878
-4.2858 -4.2825 6.0661
Zr Na Te Hg
3 4 8 1
Direct
0.5000 0.5000 0.0000 Zr
0.5000 0.5000 0.5000 Zr
0.0000 0.5000 0.5000 Zr
0.5000 0.0000 0.0000 Na
0.5000 0.0000 0.5000 Na
0.0000 0.0000 0.0000 Na
0.0000 0.0000 0.5000 Na
0.7280 0.7213 0.9747 Te
0.2582 0.2746 0.5164 Te
0.7533 0.2787 0.0253 Te
0.2467 0.7213 0.9747 Te
0.2472 0.7217 0.4943 Te
0.7528 0.2783 0.5057 Te
0.7418 0.7254 0.4836 Te
0.2720 0.2787 0.0253 Te
0.0000 0.5000 0.0000 Hg


# 18
Na5ThHg6, optimized geometry, DFT PBE; formation energy = -2.44 eV per formula unit; SG = No. 10; final energy = -1.52 eV per atom; D(E_F) = 0.4556 states/eV/atom
1.0
1.1200 0.8564 5.1768
-0.4513 -7.3262 1.3099
8.1695 -0.3660 0.7690
Th Na Hg
1 5 6
Direct
0.0000 0.0000 0.0000 Th
0.3510 0.0000 0.3487 Na
0.3738 0.5000 0.3250 Na
0.6490 0.0000 0.6513 Na
0.6262 0.5000 0.6750 Na
0.0000 0.5000 0.0000 Na
0.8780 0.2610 0.3283 Hg
0.1220 0.2610 0.6717 Hg
0.8780 0.7390 0.3283 Hg
0.1220 0.7390 0.6717 Hg
0.5000 0.2353 0.0000 Hg
0.5000 0.7647 0.0000 Hg


# 19
NaThHg2, optimized geometry, DFT PBE; formation energy = -0.81 eV per formula unit; SG = No. 123; final energy = -2.54 eV per atom; D(E_F) = 0.6791 states/eV/atom
1.0
3.5559 0.0000 0.0000
0.0000 5.5091 0.0000
0.0000 0.0000 5.5091
Hg Na Th
2 1 1
Direct
0.0000 0.5000 0.0000 Hg
0.0000 0.0000 0.5000 Hg
0.5000 0.0000 0.0000 Na
0.5000 0.5000 0.5000 Th


# 20
NaTh2Hg3, optimized geometry, DFT PBE; formation energy = -1.16 eV per formula unit; SG = No. 123; final energy = -3.04 eV per atom; D(E_F) = 0.9352 states/eV/atom
1.0
3.6693 0.0000 0.0000
0.0000 3.6693 0.0000
0.0000 0.0000 12.1145
Hg Th Na
3 2 1
Direct
0.0000 0.0000 0.3396 Hg
0.0000 0.0000 0.6604 Hg
0.0000 0.0000 0.0000 Hg
0.5000 0.5000 0.1716 Th
0.5000 0.5000 0.8284 Th
0.5000 0.5000 0.5000 Na


Number 1: total magnetic moment 0.00 μB/atom. Number 2: total magnetic moment 0.00 μB/atom. Number 3: total magnetic moment 0.00 μB/atom. Number 4: total magnetic moment 0.00 μB/atom. Number 5: total magnetic moment 0.00 μB/atom. Number 6: total magnetic moment 0.00 μB/atom. Number 7: total magnetic moment 0.00 μB/atom. Number 8: total magnetic moment 0.00 μB/atom. Number 9: total magnetic moment 0.00 μB/atom. Number 10: total magnetic moment 0.00 μB/atom. Number 11: total magnetic moment 0.00 μB/atom. Number 12: total magnetic moment 0.00 μB/atom. Number 13: total magnetic moment 0.00 μB/atom. Number 14: total magnetic moment 0.00 μB/atom. Number 15: total magnetic moment 0.25 μB/atom. Number 16: total magnetic moment 0.89 μB/atom. Number 17: total magnetic moment 0.00 μB/atom. Number 18: total magnetic moment 0.00 μB/atom. Number 19: total magnetic moment 0.00 μB/atom. Number 20: total magnetic moment 0.00 μB/atom.